# B3SeF

Crystalline B3SeF at its relaxed geometry (PBE, the Alexandria database).

Cell: 4.1806 4.1806 4.1806 Å, 90.00 90.00 90.00°
Element x y z (fractional)
F 0.5000 0.5000 0.5000
B 0.0000 0.0000 0.5000
B 0.5000 0.0000 0.0000
B 0.0000 0.5000 0.0000
Se 0.0000 0.0000 0.0000

Computed properties:
raw total energy = -3.16 eV/atom
symmetry = Pm-3m
energy above the lowest structure with this stoichiometry = 0 meV per atom
E_form (uncorrected) = 1916.6 meV/atom



# KGa4S7

Crystalline KGa4S7 at its relaxed geometry (PBE, the Alexandria database).

Cell: 6.0712 6.3780 15.0583 Å, 90.00 90.00 90.00°
Last column: magnetic moment on the atom in μB.
Element x y z (fractional)
S 0.9668 0.1704 0.7510  0.02
S 0.4668 0.8296 0.7490  0.02
S 0.9720 0.6951 0.1168  0.11
S 0.4668 0.8296 0.2510  0.02
S 0.4589 0.8412 0.0000  0.24
S 0.9809 0.6719 0.3820  0.10
S 0.9589 0.1588 0.5000  0.24
S 0.9668 0.1704 0.2490  0.02
S 0.4809 0.3281 0.8820  0.10
S 0.4809 0.3281 0.1180  0.10
S 0.9720 0.6951 0.8832  0.11
S 0.4720 0.3049 0.6168  0.11
S 0.4720 0.3049 0.3832  0.11
S 0.9809 0.6719 0.6180  0.10
Ga 0.0968 0.3324 0.6218  0.00
Ga 0.0968 0.3324 0.3782  0.00
Ga 0.5968 0.6676 0.8782  0.00
Ga 0.5774 0.1822 0.7509  0.00
Ga 0.0774 0.8178 0.2509  0.00
Ga 0.0774 0.8178 0.7491  0.00
Ga 0.5774 0.1822 0.2491  0.00
Ga 0.5968 0.6676 0.1218  0.00
K 0.0084 0.1949 0.0000  0.00
K 0.5084 0.8051 0.5000  0.00

Computed properties:
raw total energy = -4.21 eV/atom
symmetry = Pmn2_1
E_form (uncorrected) = -703.3 meV/atom



# MgSbOs2

Crystalline MgSbOs2 at its relaxed geometry (PBE, the Alexandria database).

Cell: 4.6942 4.6942 5.0630 Å, 79.95 79.95 37.32°
Element x y z (fractional)
Sb 0.7500 0.7500 0.7500
Mg 0.2500 0.2500 0.2500
Os 0.0051 0.0051 0.0203
Os 0.4949 0.4949 0.4797

Computed properties:
raw total energy = -6.61 eV/atom
symmetry = C2/m
E_form (uncorrected) = 430.9 meV/atom



# Ag2TeS

Crystalline Ag2TeS at its relaxed geometry (PBE, the Alexandria database).

Cell: 3.9148 3.9148 6.8992 Å, 73.52 73.52 60.00°
Element x y z (fractional)
Ag 0.7404 0.7404 0.7787
Ag 0.2596 0.2596 0.2213
S 0.0000 0.0000 0.0000
Te 0.5000 0.5000 0.5000

Computed properties:
raw total energy = -3.19 eV/atom
symmetry = R-3m
energy above the lowest structure with this stoichiometry = 49 meV per atom
E_form (uncorrected) = 49.1 meV/atom



# TiHgSb2

Crystalline TiHgSb2 at its relaxed geometry (PBE, the Alexandria database).

Cell: 3.2329 3.2329 11.6704 Å, 82.04 82.04 60.00°
Element x y z (fractional)
Hg 0.0000 0.0000 0.0000
Ti 0.5000 0.5000 0.5000
Sb 0.8982 0.8982 0.3054
Sb 0.1018 0.1018 0.6946

Computed properties:
raw total energy = -4.20 eV/atom
symmetry = R-3m
E_form (uncorrected) = -91.4 meV/atom



# Cs2Nd2TiSe6

Crystalline Cs2Nd2TiSe6 at its relaxed geometry (PBE, the Alexandria database).

Cell: 7.1682 7.1682 8.9158 Å, 98.33 98.33 119.34°
Element x y z (fractional)
Se 0.6358 0.9342 0.3187
Se 0.0658 0.3642 0.6813
Se 0.9342 0.6358 0.3187
Se 0.7668 0.7668 0.6788
Se 0.2332 0.2332 0.3212
Se 0.3642 0.0658 0.6813
Ti 0.0000 0.0000 0.5000
Cs 0.8266 0.1734 0.0000
Cs 0.1734 0.8266 0.0000
Nd 0.3328 0.6672 0.5000
Nd 0.6672 0.3328 0.5000

Computed properties:
raw total energy = -5.16 eV/atom
symmetry = C2/m
E_form (uncorrected) = -1516.5 meV/atom



# Ba2MgSb

Crystalline Ba2MgSb at its relaxed geometry (PBE, the Alexandria database).

Cell: 9.5167 9.5167 7.8825 Å, 52.87 52.87 90.00°
Last column: magnetic moment on the atom in μB.
Element x y z (fractional)
Ba 0.6525 0.1250 0.2500  0.09
Ba 0.8750 0.9025 0.7500  0.09
Ba 0.3750 0.3475 0.7500  0.08
Ba 0.0975 0.6250 0.2500  0.09
Sb 0.0000 0.0000 0.0000  0.01
Sb 0.7500 0.2500 0.5000  0.01
Mg 0.2500 0.7500 0.5000  0.02
Mg 0.5000 0.5000 0.0000  0.02

Computed properties:
raw total energy = -2.67 eV/atom
symmetry = I-42d
energy above the lowest structure with this stoichiometry = 268 meV per atom
E_form (uncorrected) = -283.7 meV/atom



# LiHoZn4

Crystalline LiHoZn4 at its relaxed geometry (PBE, the Alexandria database).

Cell: 5.3051 5.3051 5.3051 Å, 60.00 60.00 60.00°
Element x y z (fractional)
Ho 0.0000 0.0000 0.0000
Zn 0.6247 0.6247 0.6247
Zn 0.6247 0.6247 0.1260
Zn 0.6247 0.1260 0.6247
Zn 0.1260 0.6247 0.6247
Li 0.2500 0.2500 0.2500

Computed properties:
raw total energy = -2.17 eV/atom
E_form = -1.4 eV/f.u.
symmetry = F-43m
energy above the lowest structure with this stoichiometry = 37 meV per atom



What is the raw total energy in the sixth record?
-5.16 eV/atom